Entry 1:
Computed, not measured: crystalline HfSc6In5 at its relaxed geometry at the PBE-GGA level of DFT.

The total DFT energy (no corrections) comes out at -131.7 eV for the cell shown. The calculation puts the formation energy at -0.350 eV per atom.

The space group is Immm (No. 71) and the conventional cell measures 4.634, 8.363 and 14.037 Å, with angles of 90.00, 90.00 and 90.00 degrees. The distinct sites, in fractional coordinates, are Hf at (0.000, 0.000, 0.000), Sc at (0.000, 0.241, 0.500), Sc at (0.000, 0.253, 0.166), In at (0.000, 0.000, 0.329), In at (0.000, 0.500, 0.000) and In at (0.000, 0.500, 0.345).


Entry 2:
Computed, not measured: crystalline HfScIn2 at its relaxed geometry at the PBE-GGA level of DFT.

The value obtained for the energy above the most stable polymorph in this dataset is 3.8 kJ/mol of atoms. The total DFT energy (no corrections) comes out at -22.8 eV for the cell shown. The calculation puts the formation energy at -0.251 eV per atom.

The space group is P4/mmm (No. 123) and the conventional cell measures 4.514, 4.514 and 4.318 Å, with angles of 90.00, 90.00 and 90.00 degrees. The distinct sites, in fractional coordinates, are Hf at (0.000, 0.000, 0.000), Sc at (0.500, 0.500, 0.000) and In at (0.000, 0.500, 0.500).